No. 1
As4OsBr after structural relaxation. Source: Alexandria, functional PBE-GGA.

Calculated values
uncorrected formation energy	1.1410	eV/atom
crystal system	cubic
volume	506.67	Å³/cell

abc: 7.972 7.972 7.972
angles: 90.00 90.00 90.00
Space group F-43m (No. 216)
Asymmetric unit:
As 0.115 0.115 0.115 (multiplicity 16)
Os 0.000 0.000 0.500 (multiplicity 4)
Br 0.250 0.250 0.750 (multiplicity 4)



No. 2
AsOs2Br after structural relaxation. Source: Alexandria, functional PBE-GGA.

Calculated values
uncorrected formation energy	0.6096	eV/atom
crystal system	orthorhombic
volume	87.08	Å³/cell

abc: 2.756 3.829 8.250
angles: 90.00 90.00 90.00
Space group Pmm2 (No. 25)
Asymmetric unit:
As 0.000 0.000 0.000 (multiplicity 1)
Os 0.000 0.000 0.697 (multiplicity 1)
Os 0.500 0.500 0.823 (multiplicity 1)
Br 0.500 0.500 0.365 (multiplicity 1)



No. 3
AsOs2Br after structural relaxation. Source: Alexandria, functional PBE-GGA.

Calculated values
uncorrected formation energy	0.5185	eV/atom
crystal system	tetragonal
volume	79.17	Å³/cell

abc: 2.918 2.918 9.297
angles: 90.00 90.00 90.00
Space group P4mm (No. 99)
Asymmetric unit:
As 0.000 0.000 0.000 (multiplicity 1)
Os 0.000 0.000 0.629 (multiplicity 1)
Os 0.500 0.500 0.810 (multiplicity 1)
Br 0.500 0.500 0.421 (multiplicity 1)



No. 4
AsOsBr3 after structural relaxation. Source: Alexandria, functional PBE-GGA.

Calculated values
uncorrected formation energy	1.2509	eV/atom
crystal system	cubic
volume	152.47	Å³/cell

abc: 5.342 5.342 5.342
angles: 90.00 90.00 90.00
Space group Pm-3m (No. 221)
Asymmetric unit:
As 0.000 0.000 0.000 (multiplicity 1)
Os 0.500 0.500 0.500 (multiplicity 1)
Br 0.000 0.000 0.500 (multiplicity 3)



No. 5
AsOs2Br after structural relaxation. Source: Alexandria, functional PBE-GGA.

Calculated values
uncorrected formation energy	1.2221	eV/atom
crystal system	orthorhombic
volume	66.10	Å³/cell

abc: 2.889 4.368 5.238
angles: 90.00 90.00 90.00
Space group Pmmm (No. 47)
Asymmetric unit:
As 0.000 0.000 0.000 (multiplicity 1)
Os 0.000 0.500 0.500 (multiplicity 1)
Os 0.500 0.500 0.000 (multiplicity 1)
Br 0.500 0.000 0.500 (multiplicity 1)



No. 6
As2POsBr after structural relaxation. Source: Alexandria, functional PBE-GGA.

Calculated values
uncorrected formation energy	1.5304	eV/atom
crystal system	tetragonal
volume	105.68	Å³/cell

abc: 4.740 4.740 4.703
angles: 90.00 90.00 90.00
Space group P4/mmm (No. 123)
Asymmetric unit:
As 0.000 0.500 0.000 (multiplicity 2)
P 0.000 0.000 0.000 (multiplicity 1)
Os 0.500 0.500 0.500 (multiplicity 1)
Br 0.000 0.000 0.500 (multiplicity 1)



No. 7
As2POsBr after structural relaxation. Source: Alexandria, functional PBE-GGA.

Calculated values
uncorrected formation energy	0.9612	eV/atom
crystal system	tetragonal
volume	115.99	Å³/cell

abc: 4.724 4.724 5.198
angles: 90.00 90.00 90.00
Space group P4/mmm (No. 123)
Asymmetric unit:
As 0.000 0.500 0.000 (multiplicity 2)
P 0.000 0.000 0.500 (multiplicity 1)
Os 0.500 0.500 0.000 (multiplicity 1)
Br 0.500 0.500 0.500 (multiplicity 1)



No. 8
As2OsPbBr after structural relaxation. Source: Alexandria, functional PBE-GGA.

Calculated values
uncorrected formation energy	0.4007	eV/atom
crystal system	tetragonal
volume	126.13	Å³/cell

abc: 4.763 4.763 5.560
angles: 90.00 90.00 90.00
Space group P4/mmm (No. 123)
Asymmetric unit:
As 0.000 0.500 0.000 (multiplicity 2)
Os 0.000 0.000 0.000 (multiplicity 1)
Pb 0.500 0.500 0.500 (multiplicity 1)
Br 0.000 0.000 0.500 (multiplicity 1)



No. 9
AsOsPbBr2 after structural relaxation. Source: Alexandria, functional PBE-GGA.

Calculated values
uncorrected formation energy	0.3893	eV/atom
crystal system	tetragonal
volume	131.48	Å³/cell

abc: 5.291 5.291 4.697
angles: 90.00 90.00 90.00
Space group P4/mmm (No. 123)
Asymmetric unit:
As 0.000 0.000 0.000 (multiplicity 1)
Os 0.000 0.000 0.500 (multiplicity 1)
Pb 0.500 0.500 0.000 (multiplicity 1)
Br 0.000 0.500 0.500 (multiplicity 2)



No. 10
AsOsPbBr2 after structural relaxation. Source: Alexandria, functional PBE-GGA.

Calculated values
uncorrected formation energy	1.4957	eV/atom
crystal system	tetragonal
volume	183.88	Å³/cell

abc: 5.660 5.660 5.740
angles: 90.00 90.00 90.00
Space group P4/mmm (No. 123)
Asymmetric unit:
As 0.000 0.000 0.000 (multiplicity 1)
Os 0.500 0.500 0.000 (multiplicity 1)
Pb 0.000 0.000 0.500 (multiplicity 1)
Br 0.000 0.500 0.500 (multiplicity 2)



No. 11
As2OsPdBr after structural relaxation. Source: Alexandria, functional PBE-GGA.

Calculated values
uncorrected formation energy	0.7501	eV/atom
crystal system	tetragonal
volume	119.06	Å³/cell

abc: 4.682 4.682 5.432
angles: 90.00 90.00 90.00
Space group P4/mmm (No. 123)
Asymmetric unit:
As 0.000 0.500 0.000 (multiplicity 2)
Os 0.000 0.000 0.000 (multiplicity 1)
Pd 0.500 0.500 0.500 (multiplicity 1)
Br 0.000 0.000 0.500 (multiplicity 1)



No. 12
Pr8AsOs3Br4 after structural relaxation. Source: Alexandria, functional PBE-GGA.

Calculated values
uncorrected formation energy	-0.8398	eV/atom
crystal system	trigonal
volume	1444.65	Å³/cell

abc: 8.4739 8.4739 23.2316
angles: 90.00 90.00 120.00
Space group R-3m (No. 166, hexagonal axes)
Asymmetric unit:
Pr 0.0000 0.0000 0.2345 (multiplicity 6)
Pr 0.0150 0.5075 0.7681 (multiplicity 18)
As 0.0000 0.0000 0.5000 (multiplicity 3)
Os 0.0000 0.5000 0.5000 (multiplicity 9)
Br 0.0000 0.0000 0.0000 (multiplicity 3)
Br 0.0000 0.5000 0.0000 (multiplicity 9)



No. 13
As2OsPtBr after structural relaxation. Source: Alexandria, functional PBE-GGA.

Calculated values
uncorrected formation energy	0.9716	eV/atom
crystal system	tetragonal
volume	114.35	Å³/cell

abc: 4.689 4.689 5.202
angles: 90.00 90.00 90.00
Space group P4/mmm (No. 123)
Asymmetric unit:
As 0.000 0.500 0.000 (multiplicity 2)
Os 0.000 0.000 0.000 (multiplicity 1)
Pt 0.500 0.500 0.500 (multiplicity 1)
Br 0.000 0.000 0.500 (multiplicity 1)



No. 14
AsOsPtBr2 after structural relaxation. Source: Alexandria, functional PBE-GGA.

Calculated values
uncorrected formation energy	1.1202	eV/atom
crystal system	tetragonal
volume	120.78	Å³/cell

abc: 5.084 5.084 4.673
angles: 90.00 90.00 90.00
Space group P4/mmm (No. 123)
Asymmetric unit:
As 0.000 0.000 0.000 (multiplicity 1)
Os 0.000 0.000 0.500 (multiplicity 1)
Pt 0.500 0.500 0.000 (multiplicity 1)
Br 0.000 0.500 0.500 (multiplicity 2)



No. 15
RbAs2OsBr after structural relaxation. Source: Alexandria, functional PBE-GGA.

Calculated values
uncorrected formation energy	2.3414	eV/atom
crystal system	tetragonal
volume	193.34	Å³/cell

abc: 5.766 5.766 5.815
angles: 90.00 90.00 90.00
Space group P4/mmm (No. 123)
Asymmetric unit:
Rb 0.000 0.000 0.000 (multiplicity 1)
As 0.000 0.500 0.000 (multiplicity 2)
Os 0.500 0.500 0.500 (multiplicity 1)
Br 0.000 0.000 0.500 (multiplicity 1)